## LuScTi4 (PBE)

Data for a geometry-optimized LuScTi4 structure.

Unit cell a=5.661 b=5.661 c=5.661 alpha=60.00 beta=60.00 gamma=60.00
Fractional coordinates of all 6 atoms:
Lu (0.000, 0.000, 0.000)
Sc (0.250, 0.250, 0.250)
Ti (0.127, 0.624, 0.624)
Ti (0.624, 0.127, 0.624)
Ti (0.624, 0.624, 0.127)
Ti (0.624, 0.624, 0.624)

Total moment: 7.86 Bohr magnetons per cell
Energy relative to the elements: 222.0 meV/atom

***

## HoURu (PBE)

Data for a geometry-optimized HoURu structure.

Unit cell a=3.568 b=3.568 c=6.353 alpha=90.00 beta=90.00 gamma=120.00
Fractional coordinates of all 3 atoms:
Ho (0.000, 0.000, 0.000)
U (0.667, 0.333, 0.420)
Ru (0.333, 0.667, 0.656)

Offset from the most stable computed form: 0.46 eV/f.u.
Total moment: 0.52 Bohr magnetons per cell
Energy relative to the elements: 38.1 meV/atom